Compound: MgRh3C
Source: Alexandria
Functional: PBE-GGA
Structure: optimized geometry

abc: 9.9203 4.9443 5.7131
angles: 90.00 105.56 90.00
Space group C2 (No. 5)
Asymmetric unit:
Mg  0.0122  0.0000  0.2585
Rh  0.0000  0.4892  0.0000
Rh  0.0000  0.4910  0.5000
Rh  0.2477  0.7899  0.1321
Rh  0.2505  0.3032  0.3787
C  0.1366  0.6177  0.8128

Summary:
uncorrected energy	-6.717	eV per atom
ΔE_f	-143	meV per atom